Record 1
First-principles (PBE) data for a relaxed structure of PrTlPt, as listed in OQMD via LeMat-Bulk.

The value obtained for the calculated total energy is -4.57 eV per atom.

The structure belongs to space group F-43m (No. 216); the cell edges are 6.899, 6.899 and 6.899 Å and the angles 90.00°, 90.00° and 90.00°. The asymmetric unit holds Pr at (0.000, 0.000, 0.000), Tl at (0.250, 0.250, 0.250) and Pt at (0.000, 0.000, 0.500).

Record 2
First-principles (PBE) data for a relaxed structure of PrUPt, as listed in OQMD via LeMat-Bulk.

For the formation energy, the calculation gives -0.11 eV per atom.

The structure belongs to space group F-43m (No. 216); the cell edges are 7.006, 7.006 and 7.006 Å and the angles 90.00°, 90.00° and 90.00°. The asymmetric unit holds Pr at (0.000, 0.000, 0.000), U at (0.000, 0.000, 0.500) and Pt at (0.250, 0.250, 0.250).